! PBE-GGA TbZn3CuPd, relaxed; values from VASP
&SYSTEM
  ibrav = 0, nat = 12, ntyp = 4
/
ATOMIC_SPECIES
Zn 65.41 Zn.upf
Cu 63.55 Cu.upf
Pd 106.42 Pd.upf
Tb 158.93 Tb.upf
CELL_PARAMETERS angstrom
5.311 0.000 0.000
0.000 7.960 0.000
0.000 -3.980 5.485
ATOMIC_POSITIONS crystal
Zn 0.500 0.251 0.000
Zn 0.500 0.749 0.000
Zn 0.000 0.749 0.000
Zn 0.000 0.251 0.000
Zn 0.250 0.172 0.344
Zn 0.750 0.828 0.656
Cu 0.750 0.052 0.103
Cu 0.250 0.948 0.897
Pd 0.750 0.591 0.183
Pd 0.250 0.409 0.817
Tb 0.250 0.694 0.389
Tb 0.750 0.306 0.611
! Formation energy (meV per atom): -217
! D(E_F) (states/eV/f.u.): 3.1
! Raw total energy (eV/atom): -3.174
! Total moment (μB per formula unit): 0.00

=====

! PBE-GGA Cd4Hg3F12, relaxed; values from VASP
&SYSTEM
  ibrav = 0, nat = 19, ntyp = 3
/
ATOMIC_SPECIES
F 19.00 F.upf
Cd 112.41 Cd.upf
Hg 200.59 Hg.upf
CELL_PARAMETERS angstrom
-2.538 7.090 -0.562
-5.634 -4.813 -1.454
2.593 -1.199 6.990
ATOMIC_POSITIONS crystal
F 0.109 0.798 0.311
F 0.202 0.689 0.891
F 0.202 0.311 0.514
F 0.514 0.202 0.311
F 0.689 0.891 0.202
F 0.891 0.202 0.689
F 0.798 0.311 0.109
F 0.798 0.689 0.486
F 0.311 0.109 0.798
F 0.689 0.486 0.798
F 0.486 0.798 0.689
F 0.311 0.514 0.202
Cd 0.000 0.000 0.500
Cd 0.500 0.000 0.000
Cd 0.000 0.500 0.000
Cd 0.500 0.500 0.500
Hg 0.500 0.500 0.000
Hg 0.500 0.000 0.500
Hg 0.000 0.500 0.500
! D(E_F) (states/eV/f.u.): 2.7
! Raw total energy (eV/atom): -3.179
! Formation energy (no corrections) (eV/atom): -1.756
! Total moment (μB per formula unit): 0.00

=====

! PBE-GGA KGa3Cl, relaxed; values from VASP
&SYSTEM
  ibrav = 0, nat = 5, ntyp = 3
/
ATOMIC_SPECIES
Ga 69.72 Ga.upf
K 39.10 K.upf
Cl 35.45 Cl.upf
CELL_PARAMETERS angstrom
-4.387 -1.604 -2.930
-0.799 -4.192 3.492
-3.243 3.203 3.103
ATOMIC_POSITIONS crystal
Ga 0.000 0.000 0.500
Ga 0.000 0.500 0.000
Ga 0.500 0.000 0.000
K 0.500 0.500 0.500
Cl 0.000 0.000 0.000
! D(E_F) (states/eV/f.u.): 2.4
! Raw total energy (eV/atom): -2.349
! Formation energy (no corrections) (eV/atom): 0.056
! Total moment (μB per formula unit): 0.00
! Energy above the lowest structure with this stoichiometry (kcal/mol of atoms): 0.000

=====

! PBE-GGA Y4RhSe2S, relaxed; values from VASP
&SYSTEM
  ibrav = 0, nat = 8, ntyp = 4
/
ATOMIC_SPECIES
Y 88.91 Y.upf
Se 78.96 Se.upf
Rh 102.91 Rh.upf
S 32.06 S.upf
CELL_PARAMETERS angstrom
-3.482 0.354 1.907
-2.674 -5.311 -3.895
1.209 -6.118 3.343
ATOMIC_POSITIONS crystal
Y 0.500 0.268 0.747
Y 0.000 0.727 0.764
Y 0.000 0.273 0.236
Y 0.500 0.732 0.253
Se 0.500 0.000 0.500
Se 0.000 0.000 0.000
Rh 0.500 0.500 0.000
S 0.000 0.500 0.500
! D(E_F) (states/eV/f.u.): 5.7
! Raw total energy (eV/atom): -7.103
! Formation energy (no corrections) (eV/atom): -1.565
! Total moment (μB per formula unit): 0.00

=====

! PBE-GGA Y3Cu2Ni3, relaxed; values from VASP
&SYSTEM
  ibrav = 0, nat = 16, ntyp = 3
/
ATOMIC_SPECIES
Y 88.91 Y.upf
Ni 58.69 Ni.upf
Cu 63.55 Cu.upf
CELL_PARAMETERS angstrom
-0.930 -1.529 -3.367
-0.928 -3.410 3.965
-14.005 5.437 1.399
ATOMIC_POSITIONS crystal
Y 0.638 0.276 0.049
Y 0.638 0.276 0.451
Y 0.539 0.078 0.250
Y 0.461 0.922 0.750
Y 0.362 0.724 0.951
Y 0.362 0.724 0.549
Ni 0.932 0.865 0.405
Ni 0.068 0.135 0.905
Ni 0.828 0.656 0.250
Ni 0.068 0.135 0.595
Ni 0.932 0.865 0.095
Ni 0.172 0.344 0.750
Cu 0.284 0.569 0.154
Cu 0.716 0.431 0.654
Cu 0.716 0.431 0.846
Cu 0.284 0.569 0.346
! Formation energy (meV per atom): -205
! D(E_F) (states/eV/f.u.): 6.0
! Raw total energy (eV/atom): -5.821
! Total moment (μB per formula unit): 0.00

=====

! PBE-GGA Zr5AgPd, relaxed; values from VASP
&SYSTEM
  ibrav = 0, nat = 14, ntyp = 3
/
ATOMIC_SPECIES
Zr 91.22 Zr.upf
Ag 107.87 Ag.upf
Pd 106.42 Pd.upf
CELL_PARAMETERS angstrom
-4.614 -2.753 2.548
-3.108 -4.014 -3.096
1.558 -11.291 2.938
ATOMIC_POSITIONS crystal
Zr 0.140 0.860 0.250
Zr 0.112 0.379 0.282
Zr 0.312 0.340 0.504
Zr 0.621 0.888 0.218
Zr 0.379 0.112 0.782
Zr 0.860 0.140 0.750
Zr 0.888 0.621 0.718
Zr 0.660 0.688 0.996
Zr 0.340 0.312 0.004
Zr 0.688 0.660 0.496
Ag 0.331 0.669 0.750
Ag 0.669 0.331 0.250
Pd 0.000 0.000 0.000
Pd 0.000 0.000 0.500
! Formation energy (meV per atom): 64
! D(E_F) (states/eV/f.u.): 7.4
! Raw total energy (eV/atom): -7.191
! Total moment (μB per formula unit): 0.00

=====

Copy entry 5 word for word.
! PBE-GGA Y3Cu2Ni3, relaxed; values from VASP
&SYSTEM
  ibrav = 0, nat = 16, ntyp = 3
/
ATOMIC_SPECIES
Y 88.91 Y.upf
Ni 58.69 Ni.upf
Cu 63.55 Cu.upf
CELL_PARAMETERS angstrom
-0.930 -1.529 -3.367
-0.928 -3.410 3.965
-14.005 5.437 1.399
ATOMIC_POSITIONS crystal
Y 0.638 0.276 0.049
Y 0.638 0.276 0.451
Y 0.539 0.078 0.250
Y 0.461 0.922 0.750
Y 0.362 0.724 0.951
Y 0.362 0.724 0.549
Ni 0.932 0.865 0.405
Ni 0.068 0.135 0.905
Ni 0.828 0.656 0.250
Ni 0.068 0.135 0.595
Ni 0.932 0.865 0.095
Ni 0.172 0.344 0.750
Cu 0.284 0.569 0.154
Cu 0.716 0.431 0.654
Cu 0.716 0.431 0.846
Cu 0.284 0.569 0.346
! Formation energy (meV per atom): -205
! D(E_F) (states/eV/f.u.): 6.0
! Raw total energy (eV/atom): -5.821
! Total moment (μB per formula unit): 0.00

=====

Question: What is the formula in the third record?
Answer: KGa3Cl

=====

Question: What is the formula in the third record?
Answer: KGa3Cl